Here is a relaxed SrBiI2O crystal from Alexandria via LeMat-Bulk. Energies are from PBE.

a = 6.4664 Å, b = 6.4664 Å, c = 4.3890 Å
α = 90.00°, β = 90.00°, γ = 90.00°
Positions (direct):
I: 0.0000 0.5000 0.0000
I: 0.5000 0.0000 0.0000
Sr: 0.5000 0.5000 0.5000
Bi: 0.0000 0.0000 0.0000
O: 0.0000 0.0000 0.5000

Output
spin magnetization = 0.2 μB per formula unit
raw formation energy = -0.7524 eV per atom
ΔE to the lowest computed polymorph = 0 meV per atom
crystal system = tetragonal